A plane-wave DFT calculation with PBE was carried out for ScHgW2 after structural relaxation.

Summary:
As for the calculated formation energy: 0.417 eV/atom. The calculation puts the final energy at -7.718 eV per atom. As for the density of states at the Fermi level: 0.845 states/eV per atom.

a = 5.5160 Å, b = 5.5160 Å, c = 5.5160 Å
α = 142.99°, β = 133.28°, γ = 61.05°
With the nearest neighbours (Å) after each atom.
Sites, in units of the cell vectors:
1 Sc 0.0000 0.0000 0.0000  4 Hg 2.80, 4 W 2.94
2 Hg 0.5000 0.5000 0.0000  4 Sc 2.80, 4 W 2.97
3 W 0.2482 0.7482 0.5000  4 W 2.80, 2 Sc 2.94, 2 Hg 2.97
4 W 0.7518 0.2518 0.5000  4 W 2.80, 2 Sc 2.94, 2 Hg 2.97

A plane-wave DFT calculation with PBE was carried out for ScHgW2 after structural relaxation.

Summary:
As for the calculated formation energy: 0.512 eV/atom. The calculation puts the final energy at -7.623 eV per atom. As for the density of states at the Fermi level: 0.436 states/eV per atom.

a = 2.8031 Å, b = 2.8031 Å, c = 9.4547 Å
α = 90.00°, β = 90.00°, γ = 100.07°
With the nearest neighbours (Å) after each atom.
Sites, in units of the cell vectors:
1 Sc 0.0000 0.0000 0.0000  4 Sc 2.80, 4 W 2.97
2 Hg 0.0000 0.0000 0.5000  4 Hg 2.80, 4 W 2.97
3 W 0.5000 0.5000 0.2504  4 W 2.80, 2 Hg 2.97, 2 Sc 2.97
4 W 0.5000 0.5000 0.7496  4 W 2.80, 2 Hg 2.97, 2 Sc 2.97

A plane-wave DFT calculation with PBE was carried out for ScHgW after structural relaxation.

Summary:
As for the calculated formation energy: 0.353 eV/atom. As for the distance to the lowest polymorph of the same formula: 103 meV per atom. The calculation puts the final energy at -6.176 eV per atom. As for the density of states at the Fermi level: 0.724 states/eV per atom.

a = 3.0849 Å, b = 3.0849 Å, c = 7.1604 Å
α = 90.00°, β = 90.00°, γ = 120.00°
With the nearest neighbours (Å) after each atom.
Sites, in units of the cell vectors:
1 Sc 0.0000 0.0000 0.0000  3 W 2.86, 3 Hg 3.07, 6 Sc 3.08
2 Hg 0.3333 0.6667 0.6502  3 W 3.00, 3 Sc 3.07, 6 Hg 3.08
3 W 0.6667 0.3333 0.3125  3 Sc 2.86, 3 Hg 3.00, 6 W 3.08

Q: Which formula does entry 3 have?
A: ScHgW

Q: calculated formation energy of number 1 (ScHgW2)?
A: 0.417 eV/atom